## CdIn2TeO6 (PBE)

Data for a geometry-optimized CdIn2TeO6 structure.

Lattice parameters (Å, degrees): 5.7343 5.7343 5.9249 61.06 61.06 60.00
With the nearest neighbours (Å) after each atom.
Element x y z (fractional)
O  0.6976  0.1489  0.7647  1 Te 2.12, 2 In 2.21-2.35, 1 Cd 2.34
O  0.1488  0.3888  0.7648  1 Te 2.12, 2 In 2.21-2.35, 1 Cd 2.34
O  0.9020  0.6331  0.2373  2 In 2.13-2.22, 1 Te 2.29
O  0.6331  0.2276  0.2373  2 In 2.13-2.22, 1 Te 2.29
O  0.3888  0.6976  0.7648  1 Te 2.12, 2 In 2.21-2.35, 1 Cd 2.34
O  0.2276  0.9020  0.2373  2 In 2.13-2.22, 1 Te 2.29
Te  0.3156  0.3156  0.0533  6 O 2.12-2.29
In  0.5296  0.5296  0.4112  6 O 2.13-2.35
In  0.0171  0.0171  0.9488  6 O 2.21-2.22
Cd  0.8014  0.8014  0.5957  6 O 2.34-2.45

Formation energy from raw total energies   -1256 meV/atom
D(E_F)   0.0000 states/eV/atom
V   13.992 A^3/atom